The following is a DFT calculation (GGA-PBE) of a geometry-optimized PrTlBi structure.

## Properties
* ΔE_f: -0.346 eV/atom
* offset from the most stable computed form: 0 meV per atom
* V: 31.86 Å³ per atom
* total moment: 0.0000 μB per atom
* D(E_F): 2.03 states/eV per cell
* uncorrected energy: -12.06 eV for the cell shown

Unit cell a=5.3140 b=5.3140 c=3.9079 alpha=90.00 beta=90.00 gamma=120.00
Space group P3m1 (No. 156)
One atom of each set of equivalent atoms:
1 Pr 0.0000 0.0000 0.0000 [1 per cell]
2 Tl 0.6667 0.3333 0.6414 [1 per cell]
3 Bi 0.3333 0.6667 0.4155 [1 per cell]

---

The following is a DFT calculation (GGA-PBE) of a geometry-optimized LaSc2Rh structure.

## Properties
* ΔE_f: -0.303 eV/atom
* V: 26.37 Å³ per atom
* total moment: 0.0000 μB per atom
* D(E_F): 12.14 states/eV per cell
* uncorrected energy: -78.46 eV for the cell shown

Unit cell a=3.7677 b=3.7677 c=25.7429 alpha=90.00 beta=90.00 gamma=120.00
Space group R-3m (No. 166, hexagonal axes)
One atom of each set of equivalent atoms:
1 La 0.0000 0.0000 0.0000 [3 per cell]
2 Sc 0.0000 0.0000 0.2216 [6 per cell]
3 Rh 0.0000 0.0000 0.5000 [3 per cell]

---

The following is a DFT calculation (GGA-PBE) of a geometry-optimized Sr2TiTe structure.

## Properties
* V: 37.83 Å³ per atom
* total moment: 0.7879 μB per atom
* D(E_F): 19.04 states/eV per cell
* uncorrected energy: -56.38 eV for the cell shown
* formation energy from raw total energies: 0.08 eV/atom

Unit cell a=9.106 b=9.106 c=7.300 alpha=90.00 beta=90.00 gamma=90.00
Space group I-42d (No. 122)
One atom of each set of equivalent atoms:
1 Sr 0.227 0.750 0.125 [8 per cell]
2 Ti 0.000 0.000 0.500 [4 per cell]
3 Te 0.000 0.000 0.000 [4 per cell]